Material: Tl3H12Pt5
Method: DFT, PBE-GGA
State: optimized geometry

abc: 12.331 12.331 12.331
angles: 90.00 90.00 90.00
Space group Ia-3d (No. 230)
Asymmetric unit:
Tl1 0.000 0.250 0.125 (multiplicity 24)
H1 0.030 0.130 0.942 (multiplicity 96)
Pt1 0.000 0.000 0.000 (multiplicity 16)
Pt2 0.000 0.250 0.375 (multiplicity 24)

Output
**Crystal system**: cubic
**Total DFT energy (no corrections)**: -602.08 eV per cell
**Magnetization**: 0.00 μB per cell

---

Material: TlHPt
Method: DFT, PBE-GGA
State: optimized geometry

abc: 4.741 8.212 6.814
angles: 90.00 90.12 90.00
Space group C2/c (No. 15)
Asymmetric unit:
Tl1 0.000 0.167 0.250 (multiplicity 4)
H1 0.000 0.500 0.000 (multiplicity 4)
Pt1 0.000 0.500 0.250 (multiplicity 4)

Output
**Crystal system**: monoclinic
**Relative energy among the computed polymorphs**: 105.3 meV per atom
**Magnetization**: 0.00 μB per cell

---

Material: Tl2H2Pt
Method: DFT, PBE-GGA
State: optimized geometry

abc: 5.739 5.739 5.026
angles: 90.00 90.00 90.00
Space group P4/mbm (No. 127)
Asymmetric unit:
Tl1 0.189 0.311 0.000 (multiplicity 4)
H1 0.244 0.744 0.500 (multiplicity 4)
Pt1 0.000 0.000 0.500 (multiplicity 2)

Output
**Crystal system**: tetragonal
**Relative energy among the computed polymorphs**: 342.9 meV per atom
**Magnetization**: 0.00 μB per cell

---

Material: Tl2HPt
Method: DFT, PBE-GGA
State: optimized geometry

abc: 5.622 5.622 12.183
angles: 90.00 90.00 90.00
Space group I-42d (No. 122)
Asymmetric unit:
Tl1 0.191 0.250 0.125 (multiplicity 8)
H1 0.000 0.000 0.000 (multiplicity 4)
Pt1 0.000 0.000 0.500 (multiplicity 4)

Output
**Crystal system**: tetragonal
**Relative energy among the computed polymorphs**: 0.0 meV per atom
**Magnetization**: 0.00 μB per cell

---

Material: TlHPt
Method: DFT, PBE-GGA
State: optimized geometry

abc: 3.1590 3.1590 5.4571
angles: 90.00 90.00 120.00
Space group P3m1 (No. 156)
Asymmetric unit:
Tl1 0.0000 0.0000 0.0000 (multiplicity 1)
H1 0.6667 0.3333 0.4988 (multiplicity 1)
Pt1 0.3333 0.6667 0.5007 (multiplicity 1)

Output
**Crystal system**: trigonal
**Relative energy among the computed polymorphs**: 144.7 meV per atom
**Magnetization**: 0.00 μB per cell

---

Material: TlHPt2
Method: DFT, PBE-GGA
State: optimized geometry

abc: 6.318 6.318 6.318
angles: 90.00 90.00 90.00
Space group Fm-3m (No. 225)
Asymmetric unit:
Tl1 0.000 0.000 0.000 (multiplicity 4)
H1 0.000 0.000 0.500 (multiplicity 4)
Pt1 0.250 0.250 0.250 (multiplicity 8)

Output
**Crystal system**: cubic
**Relative energy among the computed polymorphs**: 600.3 meV per atom
**Magnetization**: 0.00 μB per cell

---

Material: TlHPt2
Method: DFT, PBE-GGA
State: optimized geometry

abc: 3.2549 3.2549 19.4668
angles: 90.00 90.00 120.00
Space group R3m (No. 160, hexagonal axes)
Asymmetric unit:
Tl1 0.0000 0.0000 0.0000 (multiplicity 3)
H1 0.0000 0.0000 0.7880 (multiplicity 3)
Pt1 0.0000 0.0000 0.2262 (multiplicity 3)
Pt2 0.0000 0.0000 0.4507 (multiplicity 3)

Output
**Crystal system**: trigonal
**Relative energy among the computed polymorphs**: 123.0 meV per atom
**Magnetization**: 0.00 μB per cell

---

Material: TlHPt2
Method: DFT, PBE-GGA
State: optimized geometry

abc: 5.536 5.536 8.448
angles: 90.00 90.00 90.00
Space group I-42d (No. 122)
Asymmetric unit:
Tl1 0.000 0.000 0.000 (multiplicity 4)
H1 0.000 0.000 0.500 (multiplicity 4)
Pt1 0.061 0.250 0.625 (multiplicity 8)

Output
**Crystal system**: tetragonal
**Relative energy among the computed polymorphs**: 0.0 meV per atom
**Magnetization**: 0.00 μB per cell

---

Material: Tl4H5Pt2
Method: DFT, PBE-GGA
State: optimized geometry

abc: 6.887 3.423 7.471
angles: 90.00 93.28 90.00
Space group P2/m (No. 10)
Asymmetric unit:
Tl1 0.219 0.000 0.401 (multiplicity 2)
Tl2 0.220 0.000 0.898 (multiplicity 2)
H1 0.000 0.500 0.000 (multiplicity 1)
H2 0.054 0.500 0.338 (multiplicity 2)
H3 0.428 0.500 0.129 (multiplicity 2)
Pt1 0.458 0.500 0.678 (multiplicity 2)

Output
**Crystal system**: monoclinic
**Total DFT energy (no corrections)**: -34.77 eV per cell
**Magnetization**: 0.00 μB per cell

---

Material: TlH6Pt3
Method: DFT, PBE-GGA
State: optimized geometry

abc: 5.472 7.010 7.196
angles: 108.88 104.18 108.40
Space group P1 (No. 1)
Asymmetric unit:
Tl1 0.000 0.000 0.000 (multiplicity 1)
Tl2 0.409 0.437 0.488 (multiplicity 1)
H1 0.051 0.768 0.412 (multiplicity 1)
H2 0.067 0.069 0.616 (multiplicity 1)
H3 0.072 0.505 0.904 (multiplicity 1)
H4 0.388 0.994 0.271 (multiplicity 1)
H5 0.421 0.783 0.802 (multiplicity 1)
H6 0.566 0.028 0.648 (multiplicity 1)
H7 0.567 0.594 0.968 (multiplicity 1)
H8 0.615 0.296 0.090 (multiplicity 1)
H9 0.626 0.820 0.303 (multiplicity 1)
H10 0.809 0.196 0.301 (multiplicity 1)
H11 0.960 0.543 0.138 (multiplicity 1)
H12 0.995 0.639 0.623 (multiplicity 1)
Pt1 0.241 0.342 0.817 (multiplicity 1)
Pt2 0.245 0.913 0.694 (multiplicity 1)
Pt3 0.490 0.812 0.067 (multiplicity 1)
Pt4 0.694 0.132 0.481 (multiplicity 1)
Pt5 0.753 0.313 0.901 (multiplicity 1)
Pt6 0.883 0.488 0.349 (multiplicity 1)

Output
**Crystal system**: triclinic
**Total DFT energy (no corrections)**: -80.39 eV per cell
**Magnetization**: 0.00 μB per cell

---

Material: Tl2H2Pt
Method: DFT, PBE-GGA
State: optimized geometry

abc: 3.405 3.405 13.162
angles: 90.00 90.00 90.00
Space group I4/mmm (No. 139)
Asymmetric unit:
Tl1 0.000 0.000 0.135 (multiplicity 4)
H1 0.000 0.500 0.250 (multiplicity 4)
Pt1 0.000 0.000 0.500 (multiplicity 2)

Output
**Crystal system**: tetragonal
**Relative energy among the computed polymorphs**: 494.8 meV per atom
**Magnetization**: 0.00 μB per cell

---

Material: TlH6Pt4
Method: DFT, PBE-GGA
State: optimized geometry

abc: 8.659 7.215 3.991
angles: 90.00 106.71 90.00
Space group Cm (No. 8)
Asymmetric unit:
Tl1 0.000 0.000 0.000 (multiplicity 2)
H1 0.234 0.246 0.690 (multiplicity 4)
H2 0.250 0.500 0.377 (multiplicity 2)
H3 0.430 0.166 0.332 (multiplicity 4)
H4 0.467 0.000 0.851 (multiplicity 2)
Pt1 0.069 0.500 0.554 (multiplicity 2)
Pt2 0.246 0.285 0.144 (multiplicity 4)
Pt3 0.250 0.000 0.659 (multiplicity 2)

Output
**Crystal system**: monoclinic
**Total DFT energy (no corrections)**: -91.99 eV per cell
**Magnetization**: 0.00 μB per cell